VASP calculation (PBE-GGA) on a geometry-optimized NaPmIr structure.

Calculated values
For the total magnetization, the calculation gives 0.00 μB/cell. The space group is F-43m (216). The energy above the most stable polymorph in this dataset comes out at 0.0 meV per atom.

Unit cell a=4.771 b=4.771 c=4.771 alpha=60.00 beta=60.00 gamma=60.00
Sites, in units of the cell vectors:
Na1 0.000 0.000 0.000
Pm1 0.500 0.500 0.500
Ir1 0.750 0.750 0.750

VASP calculation (PBE-GGA) on a geometry-optimized LuTaAs structure.

Calculated values
For the raw total energy, the calculation gives -21.33 eV/f.u. For the total magnetization, the calculation gives 0.20 μB/cell. The space group is F-43m (216).

Unit cell a=4.490 b=4.490 c=4.490 alpha=60.00 beta=60.00 gamma=60.00
Sites, in units of the cell vectors:
Lu1 0.000 0.000 0.000
Ta1 0.500 0.500 0.500
As1 0.250 0.250 0.250

VASP calculation (PBE-GGA) on a geometry-optimized UCuTe structure.

Calculated values
For the total magnetization, the calculation gives 1.69 μB/cell. The space group is F-43m (216). The energy above the most stable polymorph in this dataset comes out at 1263.2 meV per atom.

Unit cell a=4.818 b=4.818 c=4.818 alpha=60.00 beta=60.00 gamma=60.00
Sites, in units of the cell vectors:
U1 0.000 0.000 0.000
Cu1 0.500 0.500 0.500
Te1 0.750 0.750 0.750

VASP calculation (PBE-GGA) on a geometry-optimized Ba2LiTcSe6 structure.

Calculated values
For the raw total energy, the calculation gives -46.12 eV/f.u. For the total magnetization, the calculation gives 0.37 μB/cell. The space group is C2/m (12).

Unit cell a=7.107 b=7.107 c=7.110 alpha=119.98 beta=119.98 gamma=60.02
Sites, in units of the cell vectors:
Ba1 0.250 0.250 0.250
Ba2 0.750 0.750 0.750
Li1 0.000 0.000 0.500
Tc1 0.500 0.500 0.000
Se1 0.249 0.748 0.749
Se2 0.251 0.251 0.754
Se3 0.252 0.751 0.251
Se4 0.748 0.249 0.749
Se5 0.749 0.749 0.246
Se6 0.751 0.252 0.251

Copy entry 1 word for word.
VASP calculation (PBE-GGA) on a geometry-optimized NaPmIr structure.

Calculated values
For the total magnetization, the calculation gives 0.00 μB/cell. The space group is F-43m (216). The energy above the most stable polymorph in this dataset comes out at 0.0 meV per atom.

Unit cell a=4.771 b=4.771 c=4.771 alpha=60.00 beta=60.00 gamma=60.00
Sites, in units of the cell vectors:
Na1 0.000 0.000 0.000
Pm1 0.500 0.500 0.500
Ir1 0.750 0.750 0.750